First-principles (GGA+U) data for an optimized crystal structure of NiRuO3, as listed in Alexandria.

Output
The density comes out at 6.00 Mg/m³. Its total energy is -26.904 eV per cell. As for the total magnetization: 2.68 μB/f.u.

Cell lengths 3.8600, 3.8600, 3.8600 Å; angles 90.00, 90.00, 90.00 degrees
With the nearest neighbours (Å) after each atom.
Space group Pm-3m (No. 221)
Unique sites:
1 Ni 0.0000 0.0000 0.0000  12 O 2.73
2 Ru 0.5000 0.5000 0.5000  6 O 1.93
3 O 0.0000 0.5000 0.5000  2 Ru 1.93